[1]
# TcTe2Pd (PBE, optimized geometry)
# - Magnetization: 0.00 μB per formula unit
# - Uncorrected formation energy: 0.137 eV per atom
# - E above lowest polymorph: 0.00 eV/f.u.
data_TcTe2Pd
_space_group_name_H-M_alt 'I -4 2 d'
_space_group_IT_number 122
_space_group_name_Hall 'I -4 2bw'
_cell_length_a 6.144
_cell_length_b 6.144
_cell_length_c 11.548
_cell_angle_alpha 90.00
_cell_angle_beta 90.00
_cell_angle_gamma 90.00
loop_
_atom_site_label
_atom_site_type_symbol
_atom_site_fract_x
_atom_site_fract_y
_atom_site_fract_z
_atom_site_occupancy
Tc1 Tc 0.000 0.000 0.000 1
Te1 Te 0.238 0.250 0.125 1
Pd1 Pd 0.000 0.000 0.500 1

***

[2]
# TcTe3Pd (PBE, optimized geometry)
# - Magnetization: 3.95 μB per formula unit
# - Uncorrected formation energy: 0.943 eV per atom
# - E above lowest polymorph: 4.84 eV/f.u.
data_TcTe3Pd
_space_group_name_H-M_alt 'P m -3 m'
_space_group_IT_number 221
_space_group_name_Hall '-P 4 2 3'
_cell_length_a 5.267
_cell_length_b 5.267
_cell_length_c 5.267
_cell_angle_alpha 90.00
_cell_angle_beta 90.00
_cell_angle_gamma 90.00
loop_
_atom_site_label
_atom_site_type_symbol
_atom_site_fract_x
_atom_site_fract_y
_atom_site_fract_z
_atom_site_occupancy
Tc1 Tc 0.000 0.000 0.000 1
Te1 Te 0.000 0.500 0.500 1
Pd1 Pd 0.500 0.500 0.500 1

***

[3]
# TcTe3Pd (PBE, optimized geometry)
# - Magnetization: 0.00 μB per formula unit
# - Uncorrected formation energy: 0.731 eV per atom
# - E above lowest polymorph: 3.78 eV/f.u.
data_TcTe3Pd
_space_group_name_H-M_alt 'P m -3 m'
_space_group_IT_number 221
_space_group_name_Hall '-P 4 2 3'
_cell_length_a 5.181
_cell_length_b 5.181
_cell_length_c 5.181
_cell_angle_alpha 90.00
_cell_angle_beta 90.00
_cell_angle_gamma 90.00
loop_
_atom_site_label
_atom_site_type_symbol
_atom_site_fract_x
_atom_site_fract_y
_atom_site_fract_z
_atom_site_occupancy
Tc1 Tc 0.000 0.000 0.000 1
Te1 Te 0.000 0.000 0.500 1
Pd1 Pd 0.500 0.500 0.500 1

***

[4]
# TcTe2Pd (PBE, optimized geometry)
# - Magnetization: 0.00 μB per formula unit
# - Uncorrected formation energy: 0.137 eV per atom
# - E above lowest polymorph: 0.00 eV/f.u.
data_TcTe2Pd
_space_group_name_H-M_alt 'R -3 m'
_space_group_IT_number 166
_space_group_name_Hall '-R 3 2"'
_cell_length_a 3.4009
_cell_length_b 3.4009
_cell_length_c 26.6597
_cell_angle_alpha 90.00
_cell_angle_beta 90.00
_cell_angle_gamma 120.00
loop_
_atom_site_label
_atom_site_type_symbol
_atom_site_fract_x
_atom_site_fract_y
_atom_site_fract_z
_atom_site_occupancy
Tc1 Tc 0.0000 0.0000 0.0000 1
Te1 Te 0.0000 0.0000 0.4036 1
Pd1 Pd 0.0000 0.0000 0.5000 1

***

[5]
# TcTe2Pd (PBE, optimized geometry)
# - Magnetization: 0.00 μB per formula unit
# - Uncorrected formation energy: 0.562 eV per atom
# - E above lowest polymorph: 1.70 eV/f.u.
data_TcTe2Pd
_space_group_name_H-M_alt 'R -3 m'
_space_group_IT_number 166
_space_group_name_Hall '-R 3 2"'
_cell_length_a 3.3510
_cell_length_b 3.3510
_cell_length_c 27.2790
_cell_angle_alpha 90.00
_cell_angle_beta 90.00
_cell_angle_gamma 120.00
loop_
_atom_site_label
_atom_site_type_symbol
_atom_site_fract_x
_atom_site_fract_y
_atom_site_fract_z
_atom_site_occupancy
Tc1 Tc 0.0000 0.0000 0.0000 1
Te1 Te 0.0000 0.0000 0.0930 1
Pd1 Pd 0.0000 0.0000 0.5000 1

***

[6]
# TcTe6Pd (PBE, optimized geometry)
# - Magnetization: 0.00 μB per formula unit
# - Uncorrected formation energy: -0.116 eV per atom
data_TcTe6Pd
_space_group_name_H-M_alt 'P -1'
_space_group_IT_number 2
_cell_length_a 6.642
_cell_length_b 6.654
_cell_length_c 6.673
_cell_angle_alpha 60.19
_cell_angle_beta 60.25
_cell_angle_gamma 60.37
loop_
_space_group_symop_operation_xyz
'x,y,z'
'-x,-y,-z'
loop_
_atom_site_label
_atom_site_type_symbol
_atom_site_fract_x
_atom_site_fract_y
_atom_site_fract_z
_atom_site_occupancy
Tc1 Tc 0.000 0.000 0.000 1
Te1 Te 0.049 0.768 0.438 1
Te2 Te 0.226 0.563 0.948 1
Te3 Te 0.439 0.049 0.776 1
Pd1 Pd 0.500 0.500 0.500 1

***

[7]
# Th8Tc3Te4Pd (PBE, optimized geometry)
# - Magnetization: 0.00 μB per formula unit
# - Uncorrected formation energy: -0.713 eV per atom
data_Th8Tc3Te4Pd
_space_group_name_H-M_alt 'R -3 m'
_space_group_IT_number 166
_space_group_name_Hall '-R 3 2"'
_cell_length_a 8.3941
_cell_length_b 8.3941
_cell_length_c 23.1578
_cell_angle_alpha 90.00
_cell_angle_beta 90.00
_cell_angle_gamma 120.00
loop_
_atom_site_label
_atom_site_type_symbol
_atom_site_fract_x
_atom_site_fract_y
_atom_site_fract_z
_atom_site_occupancy
Th1 Th 0.0000 0.0000 0.2343 1
Th2 Th 0.0127 0.5064 0.7662 1
Tc1 Tc 0.0000 0.5000 0.5000 1
Te1 Te 0.0000 0.0000 0.0000 1
Te2 Te 0.0000 0.5000 0.0000 1
Pd1 Pd 0.0000 0.0000 0.5000 1

***

[8]
# Tl2TcTePd (PBE, optimized geometry)
# - Magnetization: 4.50 μB per formula unit
# - Uncorrected formation energy: 1.201 eV per atom
data_Tl2TcTePd
_space_group_name_H-M_alt 'P 4/m m m'
_space_group_IT_number 123
_space_group_name_Hall '-P 4 2'
_cell_length_a 6.047
_cell_length_b 6.047
_cell_length_c 4.911
_cell_angle_alpha 90.00
_cell_angle_beta 90.00
_cell_angle_gamma 90.00
loop_
_atom_site_label
_atom_site_type_symbol
_atom_site_fract_x
_atom_site_fract_y
_atom_site_fract_z
_atom_site_occupancy
Tl1 Tl 0.000 0.500 0.000 1
Tc1 Tc 0.000 0.000 0.500 1
Te1 Te 0.500 0.500 0.000 1
Pd1 Pd 0.500 0.500 0.500 1

***

[9]
# TlTcTePd2 (PBE, optimized geometry)
# - Magnetization: 3.43 μB per formula unit
# - Uncorrected formation energy: 1.184 eV per atom
data_TlTcTePd2
_space_group_name_H-M_alt 'P 4/m m m'
_space_group_IT_number 123
_space_group_name_Hall '-P 4 2'
_cell_length_a 5.021
_cell_length_b 5.021
_cell_length_c 5.208
_cell_angle_alpha 90.00
_cell_angle_beta 90.00
_cell_angle_gamma 90.00
loop_
_atom_site_label
_atom_site_type_symbol
_atom_site_fract_x
_atom_site_fract_y
_atom_site_fract_z
_atom_site_occupancy
Tl1 Tl 0.000 0.000 0.000 1
Tc1 Tc 0.000 0.000 0.500 1
Te1 Te 0.500 0.500 0.500 1
Pd1 Pd 0.000 0.500 0.000 1

***

[10]
# ZrTc2TePd (PBE, optimized geometry)
# - Magnetization: 0.00 μB per formula unit
# - Uncorrected formation energy: 1.363 eV per atom
data_ZrTc2TePd
_space_group_name_H-M_alt 'P 4/m m m'
_space_group_IT_number 123
_space_group_name_Hall '-P 4 2'
_cell_length_a 4.743
_cell_length_b 4.743
_cell_length_c 5.006
_cell_angle_alpha 90.00
_cell_angle_beta 90.00
_cell_angle_gamma 90.00
loop_
_atom_site_label
_atom_site_type_symbol
_atom_site_fract_x
_atom_site_fract_y
_atom_site_fract_z
_atom_site_occupancy
Zr1 Zr 0.000 0.000 0.000 1
Tc1 Tc 0.000 0.500 0.500 1
Te1 Te 0.500 0.500 0.000 1
Pd1 Pd 0.500 0.500 0.500 1

***

[11]
# Th6TcPd5 (PBE, optimized geometry)
# - Magnetization: 0.00 μB per formula unit
# - Formation energy: -54 kJ/mol of atoms
data_Th6TcPd5
_space_group_name_H-M_alt 'P -1'
_space_group_IT_number 2
_cell_length_a 4.975
_cell_length_b 7.259
_cell_length_c 9.045
_cell_angle_alpha 113.50
_cell_angle_beta 105.88
_cell_angle_gamma 90.06
loop_
_space_group_symop_operation_xyz
'x,y,z'
'-x,-y,-z'
loop_
_atom_site_label
_atom_site_type_symbol
_atom_site_fract_x
_atom_site_fract_y
_atom_site_fract_z
_atom_site_occupancy
Th1 Th 0.001 0.261 0.000 1
Th2 Th 0.342 0.097 0.685 1
Th3 Th 0.342 0.587 0.685 1
Tc1 Tc 0.500 0.500 0.000 1
Pd1 Pd 0.184 0.183 0.367 1
Pd2 Pd 0.191 0.690 0.380 1
Pd3 Pd 0.500 0.000 0.000 1

***

[12]
# Th5Tc2Pd2 (PBE, optimized geometry)
# - Magnetization: 0.00 μB per formula unit
# - Formation energy: -40 kJ/mol of atoms
data_Th5Tc2Pd2
_space_group_name_H-M_alt 'C m c e'
_space_group_IT_number 64
_space_group_name_Hall '-C 2ac 2'
_cell_length_a 14.929
_cell_length_b 7.808
_cell_length_c 7.741
_cell_angle_alpha 90.00
_cell_angle_beta 90.00
_cell_angle_gamma 90.00
loop_
_atom_site_label
_atom_site_type_symbol
_atom_site_fract_x
_atom_site_fract_y
_atom_site_fract_z
_atom_site_occupancy
Th1 Th 0.000 0.000 0.000 1
Th2 Th 0.131 0.172 0.334 1
Tc1 Tc 0.000 0.138 0.639 1
Pd1 Pd 0.214 0.000 0.000 1

***

[13]
# Th3TcPd (PBE, optimized geometry)
# - Magnetization: 0.00 μB per formula unit
# - Formation energy: -35 kJ/mol of atoms
# - E above lowest polymorph: 0.00 eV/f.u.
data_Th3TcPd
_space_group_name_H-M_alt 'P 1 21/m 1'
_space_group_IT_number 11
_cell_length_a 8.265
_cell_length_b 3.931
_cell_length_c 8.545
_cell_angle_alpha 90.00
_cell_angle_beta 112.25
_cell_angle_gamma 90.00
loop_
_space_group_symop_operation_xyz
'x,y,z'
'-x,-y,-z'
'-x,y+1/2,-z'
'x,-y+1/2,z'
loop_
_atom_site_label
_atom_site_type_symbol
_atom_site_fract_x
_atom_site_fract_y
_atom_site_fract_z
_atom_site_occupancy
Th1 Th 0.038 0.250 0.173 1
Th2 Th 0.212 0.750 0.574 1
Th3 Th 0.396 0.750 0.119 1
Tc1 Tc 0.226 0.250 0.835 1
Pd1 Pd 0.401 0.250 0.395 1